MnPd5Pt: relaxed, PBE-GGA.

## Properties
The volume comes out at 16.649 A^3/atom. Its formation energy is -31 meV per atom. The value obtained for the total energy is -0.217 hartree per atom.

Unit cell a=4.718 b=4.718 c=5.508 alpha=90.00 beta=90.00 gamma=108.06
Site moments in Bohr magnetons follow the coordinates.
Fractional positions:
Pd 0.000 0.000 0.500  0.13
Pd 0.500 0.000 0.245  0.15
Pd 0.000 0.500 0.245  0.15
Pd 0.000 0.500 0.755  0.15
Pd 0.500 0.000 0.755  0.15
Pt 0.000 0.000 0.000  0.13
Mn 0.500 0.500 0.500  4.09